The following is a DFT calculation (PBE with a Hubbard U) of a relaxed structure of Dy2MnSbO6.

Calculated values
**VASP energy**: -73.0 eV/f.u.
**Spin magnetization**: 5.49 μB per cell

Unit cell a=5.359 b=5.244 c=5.244 alpha=90.00 beta=90.00 gamma=90.00
Site moments in Bohr magnetons follow the coordinates.
Element x y z (fractional)
Dy: 0.990 0.500 0.000  0.03
Dy: 0.990 0.000 0.500  0.03
Mn: 0.550 0.500 0.500  4.57
Sb: 0.576 0.000 0.000  0.10
O: 0.747 0.247 0.247  0.06
O: 0.747 0.247 0.753  0.06
O: 0.172 0.500 0.500  0.04
O: 0.181 0.000 0.000  0.14
O: 0.747 0.753 0.753  0.06
O: 0.747 0.753 0.247  0.06